[1]
Below is MgBeSe after structural relaxation, with properties calculated at the PBE level.

Results
* energy relative to the elements, uncorrected: -67 meV per atom

abc: 6.3759 5.7199 3.7503
angles: 81.79 62.61 35.60
Positions (direct):
Se 0.6352 0.6352 0.3648
Be 0.0250 0.0250 0.9750
Mg 0.3399 0.3399 0.6601



[2]
Below is Mg2BeSe after structural relaxation, with properties calculated at the PBE level.

Results
* energy relative to the elements, uncorrected: 3 meV per atom

abc: 4.7042 6.6576 3.4086
angles: 58.70 90.30 121.29
Positions (direct):
Mg 0.0000 0.5000 0.5000
Be 0.5000 0.0000 0.5000
Se 0.5000 0.5000 0.0000
Mg 0.0000 0.0000 0.0000



[3]
Below is MgBeSe2 after structural relaxation, with properties calculated at the PBE level.

Results
* energy relative to the elements, uncorrected: -607 meV per atom

abc: 8.4038 8.4038 8.4038
angles: 26.69 26.69 26.69
Positions (direct):
Be 0.5495 0.5495 0.5495
Se 0.2071 0.2071 0.2071
Mg 0.7242 0.7242 0.7242
Se 0.0192 0.0192 0.0192



[4]
Below is MgBeSe after structural relaxation, with properties calculated at the PBE level.

Results
* energy relative to the elements, uncorrected: -319 meV per atom

abc: 3.4996 3.4996 5.1976
angles: 90.00 90.00 120.00
Positions (direct):
Se 0.3333 0.6667 0.9157
Be 0.0000 0.0000 0.7337
Mg 0.6667 0.3333 0.3506